Entry 1:
Entry from Alexandria: a relaxed structure of Er2Th2Sc15 (PBE-GGA).

Geometry as extended XYZ:
```
19
Lattice="8.100 0.068 0.060 1.118 8.022 0.060 1.118 0.981 7.962" Properties=species:S:1:pos:R:3 pbc="T T T"
Er 1.125 0.987 0.880
Er 9.210 8.084 7.203
Th 3.591 3.152 2.808
Th 6.744 5.919 5.274
Sc 4.050 0.034 0.030
Sc 0.559 0.491 3.981
Sc 0.559 4.011 0.030
Sc 1.118 5.836 2.514
Sc 5.931 2.538 0.060
Sc 3.286 0.697 5.508
Sc 3.286 5.552 0.060
Sc 5.931 0.351 2.514
Sc 1.118 3.168 5.508
Sc 2.767 5.782 5.152
Sc 6.092 5.347 1.388
Sc 6.092 1.993 5.152
Sc 7.569 3.289 2.930
Sc 4.243 3.724 6.695
Sc 4.243 7.078 2.930
```

Values from the calculation:
The value obtained for the calculated total energy is -5.996 eV per atom. As for the formation energy: 0.264 eV per atom. As for the space group: R-3m, No. 166. The value obtained for the density of states at the Fermi level is 2.254 states/eV per atom.

Entry 2:
Entry from Alexandria: a relaxed structure of EuGd3Rh (PBE-GGA).

Geometry as extended XYZ:
```
5
Lattice="5.520 0.000 0.000 0.000 5.520 0.000 0.000 0.000 5.520" Properties=species:S:1:pos:R:3 pbc="T T T"
Eu 2.760 2.760 2.760
Gd 0.000 2.760 0.000
Gd 0.000 0.000 2.760
Gd 2.760 0.000 0.000
Rh 0.000 0.000 0.000
```

Values from the calculation:
The value obtained for the calculated total energy is -12.256 eV per atom. As for the formation energy: -0.282 eV per atom. As for the space group: Pm-3m, No. 221. The value obtained for the density of states at the Fermi level is 1.647 states/eV per atom.

Entry 3:
Entry from Alexandria: a relaxed structure of TlNi2 (PBE-GGA).

Geometry as extended XYZ:
```
3
Lattice="-1.052 3.697 -1.677 -1.133 -0.918 3.932 2.517 1.169 0.998" Properties=species:S:1:pos:R:3 pbc="T T T"
Ni 2.379 1.105 0.943
Ni 0.711 1.465 2.783
Tl -0.240 2.549 0.526
```

Values from the calculation:
The value obtained for the calculated total energy is -4.289 eV per atom. As for the formation energy: 0.354 eV per atom. As for the space group: P-3m1, No. 164. The value obtained for the density of states at the Fermi level is 0.474 states/eV per atom.

Entry 4:
Entry from Alexandria: a relaxed structure of Pu2Ge4IrRh3 (PBE-GGA).

Geometry as extended XYZ:
```
10
Lattice="4.231 0.000 0.000 0.000 4.231 0.000 0.000 0.000 10.136" Properties=species:S:1:pos:R:3 pbc="T T T"
Pu 2.116 0.000 2.498
Pu 0.000 2.116 7.637
Ge 2.116 2.116 0.000
Ge 0.000 0.000 0.000
Ge 2.116 0.000 6.403
Ge 0.000 2.116 3.732
Ir 2.116 2.116 5.068
Rh 0.000 0.000 5.068
Rh 2.116 0.000 8.842
Rh 0.000 2.116 1.293
```

Values from the calculation:
The value obtained for the calculated total energy is -8.438 eV per atom. As for the formation energy: -0.633 eV per atom. As for the space group: P-4m2, No. 115. The value obtained for the density of states at the Fermi level is 2.878 states/eV per atom.

Entry 5:
Entry from Alexandria: a relaxed structure of Ca8InGa2 (PBE-GGA).

Geometry as extended XYZ:
```
11
Lattice="-0.265 -1.994 4.966 7.249 -2.219 -0.504 -0.541 9.600 0.936" Properties=species:S:1:pos:R:3 pbc="T T T"
Ca 3.369 5.690 2.465
Ca 6.581 -0.149 3.182
Ca 4.534 2.704 4.218
Ca 0.829 6.612 5.590
Ca 1.909 2.682 1.179
Ca -0.138 5.535 2.216
Ca 3.073 -0.303 2.933
Ca 5.613 -1.226 -0.193
In -0.132 -0.997 2.483
Ga 1.690 3.828 4.518
Ga 4.752 1.558 0.879
```

Values from the calculation:
The value obtained for the calculated total energy is -2.560 eV per atom. As for the formation energy: -0.305 eV per atom. As for the space group: C2/m, No. 12. The value obtained for the density of states at the Fermi level is 0.406 states/eV per atom. The calculation puts the offset from the most stable computed form at 0.000 eV/atom.

Entry 6:
Entry from Alexandria: a relaxed structure of BeGeSe2 (PBE-GGA).

Geometry as extended XYZ:
```
4
Lattice="1.608 0.416 4.386 -1.313 3.645 2.643 -2.894 -0.659 3.631" Properties=species:S:1:pos:R:3 pbc="T T T"
Be 0.000 0.000 0.000
Ge -1.299 1.701 5.330
Se -0.650 0.851 2.665
Se -1.949 2.552 7.995
```

Values from the calculation:
The value obtained for the calculated total energy is -3.453 eV per atom. As for the space group: Fm-3m, No. 225. The value obtained for the density of states at the Fermi level is 0.398 states/eV per atom. The calculation puts the offset from the most stable computed form at 0.671 eV/atom.

Entry 7:
Entry from Alexandria: a relaxed structure of NdIn2RuO8 (PBE-GGA).

Geometry as extended XYZ:
```
12
Lattice="-3.001 0.292 -3.947 -0.627 -4.913 0.150 -5.301 0.801 4.090" Properties=species:S:1:pos:R:3 pbc="T T T"
Nd -2.650 0.401 2.045
In -5.827 -1.704 1.199
In -3.101 -2.116 -0.905
Ru 0.000 0.000 0.000
O -2.148 -3.769 0.221
O -2.599 -3.318 -2.718
O -3.641 -0.526 -2.349
O -6.780 -0.051 0.073
O -6.330 -0.501 3.012
O -5.288 -3.294 2.643
O -5.117 -2.750 -0.535
O -3.812 -1.070 0.828
```

Values from the calculation:
The value obtained for the calculated total energy is -6.415 eV per atom. As for the space group: P2/m, No. 10. The value obtained for the density of states at the Fermi level is 0.453 states/eV per atom.

Entry 8:
Entry from Alexandria: a relaxed structure of TiReIr (PBE-GGA).

Geometry as extended XYZ:
```
12
Lattice="5.348 0.000 0.000 -2.674 4.523 0.000 0.000 0.000 7.530" Properties=species:S:1:pos:R:3 pbc="T T T"
Re 2.674 0.996 4.528
Re 2.674 3.526 0.764
Re 0.000 3.526 3.001
Re 0.000 0.996 6.766
Ir 1.337 1.178 1.882
Ir -1.337 3.345 5.647
Ir 1.337 3.345 5.647
Ir 4.011 1.178 1.882
Ti 2.674 3.218 3.301
Ti 2.674 1.305 7.065
Ti 0.000 1.305 4.229
Ti 0.000 3.218 0.464
```

Values from the calculation:
The value obtained for the calculated total energy is -9.914 eV per atom. As for the formation energy: -0.179 eV per atom. As for the space group: Cmce, No. 64. The value obtained for the density of states at the Fermi level is 0.977 states/eV per atom.

Entry 9:
Entry from Alexandria: a relaxed structure of AcSnPdPb (PBE-GGA).

Geometry as extended XYZ:
```
4
Lattice="5.404 0.000 0.000 2.702 4.680 0.000 2.702 1.560 4.412" Properties=species:S:1:pos:R:3 pbc="T T T"
Pb 5.404 3.120 2.206
Ac 0.000 0.000 0.000
Sn 2.702 1.560 1.103
Pd 8.105 4.680 3.309
```

Values from the calculation:
The value obtained for the calculated total energy is -4.617 eV per atom. As for the formation energy: -0.364 eV per atom. As for the space group: F-43m, No. 216. The value obtained for the density of states at the Fermi level is 0.830 states/eV per atom.

Entry 10:
Entry from Alexandria: a relaxed structure of Ac8CuPt2 (PBE-GGA).

Geometry as extended XYZ:
```
11
Lattice="6.840 0.155 -1.093 -2.094 7.300 -2.933 -0.160 -0.004 8.139" Properties=species:S:1:pos:R:3 pbc="T T T"
Ac 3.333 2.642 -1.045
Ac 3.858 0.656 1.965
Ac 0.433 2.705 1.709
Ac 6.109 1.604 4.842
Ac 4.953 5.970 -1.777
Ac 3.930 4.797 2.478
Ac 0.338 6.806 2.198
Ac 0.870 4.797 5.245
Pt 1.866 5.090 0.065
Pt 2.573 2.419 4.113
Cu 1.429 0.168 -0.139
```

Values from the calculation:
The value obtained for the calculated total energy is -4.785 eV per atom. As for the formation energy: -0.326 eV per atom. As for the space group: Cm, No. 8. The value obtained for the density of states at the Fermi level is 1.324 states/eV per atom.

Entry 11:
Entry from Alexandria: a relaxed structure of MnZnSN2 (PBE-GGA).

Geometry as extended XYZ:
```
5
Lattice="-2.074 3.009 -0.991 -1.551 0.069 3.454 4.074 3.388 1.761" Properties=species:S:1:pos:R:3 pbc="T T T"
Zn 0.000 0.000 0.000
Mn 0.225 3.233 2.112
S 2.037 1.694 0.880
N -0.775 0.035 1.727
N -1.037 1.505 -0.496
```

Values from the calculation:
The value obtained for the calculated total energy is -4.893 eV per atom. As for the space group: P4/mmm, No. 123. The value obtained for the density of states at the Fermi level is 0.666 states/eV per atom. The calculation puts the offset from the most stable computed form at 0.935 eV/atom.

Entry 12:
Entry from Alexandria: a relaxed structure of Ti6P2O (PBE-GGA).

Geometry as extended XYZ:
```
18
Lattice="-3.322 -3.188 -2.489 3.332 -4.974 1.924 -4.296 -0.403 6.397" Properties=species:S:1:pos:R:3 pbc="T T T"
Ti -0.687 -7.788 1.222
Ti -2.904 -6.377 2.726
Ti -4.660 -6.424 5.284
Ti -3.952 -3.166 2.204
Ti -5.591 -3.388 4.830
Ti -1.572 -4.469 1.058
Ti -3.600 -0.777 4.611
Ti -1.382 -2.188 3.106
Ti 0.373 -2.141 0.548
Ti -0.334 -5.399 3.628
Ti 1.304 -5.177 1.003
Ti -2.715 -4.096 4.775
P -5.047 -5.198 3.201
P -2.154 -6.499 5.103
P -2.133 -2.066 0.729
P 0.760 -3.367 2.632
O 0.005 -4.081 -0.282
O -2.148 -0.202 3.199
```

Values from the calculation:
The value obtained for the calculated total energy is -8.312 eV per atom. As for the space group: P2_1/c, No. 14. The value obtained for the density of states at the Fermi level is 0.618 states/eV per atom. The calculation puts the offset from the most stable computed form at 0.016 eV/atom.